The following is a DFT calculation (GGA-PBE) of a geometry-optimized SrLi2InAu structure.

The value obtained for the total energy is -2.58 eV per atom. The value obtained for the formation energy is -280 meV per atom. The density of states at the Fermi level comes out at 2.895 states/eV/f.u.

The structure belongs to space group P4/mmm (No. 123); the cell edges are 5.068, 5.068 and 5.249 Å and the angles 90.00°, 90.00° and 90.00°. The inequivalent atoms are Sr at (0.000, 0.000, 0.000), Li at (0.000, 0.500, 0.500), In at (0.500, 0.500, 0.000) and Au at (0.500, 0.500, 0.500).